(1)
## Sr2LaUP4 (PBE)

Data for an optimized crystal structure of Sr2LaUP4.

a = 7.330 Å, b = 4.235 Å, c = 7.365 Å
α = 90.00°, β = 109.26°, γ = 90.00°
Positions (direct):
1 Sr 0.000 0.000 0.000
2 Sr 0.500 0.500 0.000
3 La 0.000 0.500 0.500
4 U 0.500 0.000 0.500
5 P 0.264 0.000 0.720
6 P 0.279 0.500 0.286
7 P 0.721 0.500 0.714
8 P 0.736 0.000 0.280

Output
As for the space group: P2/m (10). As for the total moment: 1.0 μB/cell. The crystal system is monoclinic. As for the energy relative to the elements: -1.170 eV/atom. As for the density of states at the Fermi level: 4.87 states/eV/f.u. Its total energy is -0.232 Ha/atom.



(2)
## Sc2SbH3 (PBE)

Data for an optimized crystal structure of Sc2SbH3.

a = 7.014 Å, b = 7.014 Å, c = 6.775 Å
α = 113.07°, β = 113.07°, γ = 29.85°
Positions (direct):
1 Sc 0.029 0.029 0.268
2 Sc 0.307 0.307 0.342
3 Sc 0.693 0.693 0.658
4 Sc 0.971 0.971 0.732
5 Sb 0.361 0.361 0.954
6 Sb 0.639 0.639 0.046
7 H 0.093 0.093 0.620
8 H 0.191 0.191 0.466
9 H 0.442 0.442 0.602
10 H 0.558 0.558 0.398
11 H 0.809 0.809 0.534
12 H 0.907 0.907 0.380

Output
As for the space group: C2/m (12). As for the total moment: 0.0 μB/cell. The crystal system is monoclinic. As for the density of states at the Fermi level: 0.83 states/eV/f.u. Its total energy is -0.189 Ha/atom.



(3)
## ScBe2In (PBE)

Data for an optimized crystal structure of ScBe2In.

a = 4.251 Å, b = 4.716 Å, c = 6.474 Å
α = 90.00°, β = 90.00°, γ = 90.00°
Positions (direct):
1 Sc 0.000 0.000 0.000
2 Sc 0.500 0.500 0.000
3 Be 0.000 0.500 0.266
4 Be 0.000 0.500 0.734
5 Be 0.500 0.000 0.266
6 Be 0.500 0.000 0.734
7 In 0.000 0.000 0.500
8 In 0.500 0.500 0.500

Output
As for the space group: Cmmm (65). As for the total moment: 0.5 μB/cell. The crystal system is orthorhombic. As for the energy relative to the elements: 0.255 eV/atom. As for the density of states at the Fermi level: 2.13 states/eV/f.u. Its total energy is -0.142 Ha/atom.



Copy entry 2 word for word.
## Sc2SbH3 (PBE)

Data for an optimized crystal structure of Sc2SbH3.

a = 7.014 Å, b = 7.014 Å, c = 6.775 Å
α = 113.07°, β = 113.07°, γ = 29.85°
Positions (direct):
1 Sc 0.029 0.029 0.268
2 Sc 0.307 0.307 0.342
3 Sc 0.693 0.693 0.658
4 Sc 0.971 0.971 0.732
5 Sb 0.361 0.361 0.954
6 Sb 0.639 0.639 0.046
7 H 0.093 0.093 0.620
8 H 0.191 0.191 0.466
9 H 0.442 0.442 0.602
10 H 0.558 0.558 0.398
11 H 0.809 0.809 0.534
12 H 0.907 0.907 0.380

Output
As for the space group: C2/m (12). As for the total moment: 0.0 μB/cell. The crystal system is monoclinic. As for the density of states at the Fermi level: 0.83 states/eV/f.u. Its total energy is -0.189 Ha/atom.



What did the third record say?
## ScBe2In (PBE)

Data for an optimized crystal structure of ScBe2In.

a = 4.251 Å, b = 4.716 Å, c = 6.474 Å
α = 90.00°, β = 90.00°, γ = 90.00°
Positions (direct):
1 Sc 0.000 0.000 0.000
2 Sc 0.500 0.500 0.000
3 Be 0.000 0.500 0.266
4 Be 0.000 0.500 0.734
5 Be 0.500 0.000 0.266
6 Be 0.500 0.000 0.734
7 In 0.000 0.000 0.500
8 In 0.500 0.500 0.500

Output
As for the space group: Cmmm (65). As for the total moment: 0.5 μB/cell. The crystal system is orthorhombic. As for the energy relative to the elements: 0.255 eV/atom. As for the density of states at the Fermi level: 2.13 states/eV/f.u. Its total energy is -0.142 Ha/atom.



> total moment of number 1 (Sr2LaUP4)?

1.0 μB/cell



> Which of these has the highest total moment?

Sr2LaUP4